MgMnAu3 | PBE | relaxed

Geometry as extended XYZ:
```
5
Lattice="4.8770 0.0000 0.0000 0.0000 4.8770 0.0000 0.0000 0.0000 4.8770" Properties=species:S:1:pos:R:3 pbc="T T T"
Mn 2.4385 2.4385 2.4385
Mg 0.0000 0.0000 0.0000
Au 0.0000 2.4385 0.0000
Au 0.0000 0.0000 2.4385
Au 2.4385 0.0000 0.0000
```

Properties
Energy above the lowest structure with this stoichiometry: 0.934 eV per formula unit
Symmetry: No. 221
V: 23.20 A^3/atom